*1*
A plane-wave DFT calculation with PBE was carried out for a relaxed SbN crystal.

Geometry as POSCAR:
```
SbN
1.0
3.305 0.000 0.000
0.000 4.110 0.000
0.193 0.073 6.102
Sb N
2 2
direct
0.000 0.000 0.000
0.477 0.493 0.400
0.495 0.292 0.083
0.982 0.788 0.317
```

*2*
A plane-wave DFT calculation with PBE was carried out for a relaxed SbN crystal.

Geometry as POSCAR:
```
SbN
1.0
-5.203 5.203 1.631
5.203 -5.203 1.631
5.203 5.203 -1.631
Sb N
4 4
direct
0.060 0.721 0.782
0.279 0.060 0.339
0.721 0.940 0.661
0.940 0.279 0.218
0.125 0.361 0.486
0.361 0.875 0.236
0.639 0.125 0.764
0.875 0.639 0.514
```

*1* is preferred energetically. Next in line: 15 meV per atom higher.